(1)
# LuScInHg

A relaxed LuScInHg crystal (GGA-PBE, Alexandria).

abc: 5.109 5.109 5.109
angles: 60.00 60.00 60.00
Fractional coordinates of all 4 atoms:
Lu1 0.500 0.500 0.500
Sc1 0.000 0.000 0.000
Hg1 0.250 0.250 0.250
In1 0.750 0.750 0.750

density of states at the Fermi level = 4.48 states/eV/f.u.
energy of formation from the pure elements = -1.638 eV/f.u.
mass density = 9.43 g cm⁻³

=====

(2)
# LuInSnHg

A relaxed LuInSnHg crystal (GGA-PBE, Alexandria).

abc: 5.272 5.272 5.272
angles: 60.00 60.00 60.00
Fractional coordinates of all 4 atoms:
Sn1 0.250 0.250 0.250
Lu1 0.000 0.000 0.000
Hg1 0.750 0.750 0.750
In1 0.500 0.500 0.500

density of states at the Fermi level = 2.47 states/eV/f.u.
energy of formation from the pure elements = -0.731 eV/f.u.
mass density = 9.76 g cm⁻³

=====

(3)
# SrLuInHg

A relaxed SrLuInHg crystal (GGA-PBE, Alexandria).

abc: 5.450 5.450 5.450
angles: 60.00 60.00 60.00
Fractional coordinates of all 4 atoms:
Lu1 0.500 0.500 0.500
Sr1 0.000 0.000 0.000
In1 0.250 0.250 0.250
Hg1 0.750 0.750 0.750

density of states at the Fermi level = 2.68 states/eV/f.u.
energy of formation from the pure elements = -1.563 eV/f.u.
mass density = 8.38 g cm⁻³

=====

(4)
# TbLuInHg

A relaxed TbLuInHg crystal (GGA-PBE, Alexandria).

abc: 5.264 5.264 5.264
angles: 60.00 60.00 60.00
Fractional coordinates of all 4 atoms:
In1 0.250 0.250 0.250
Tb1 0.500 0.500 0.500
Lu1 0.000 0.000 0.000
Hg1 0.750 0.750 0.750

density of states at the Fermi level = 4.19 states/eV/f.u.
energy of formation from the pure elements = -1.766 eV/f.u.
mass density = 10.45 g cm⁻³

=====

(5)
# LuThInHg

A relaxed LuThInHg crystal (GGA-PBE, Alexandria).

abc: 5.341 5.341 5.341
angles: 60.00 60.00 60.00
Fractional coordinates of all 4 atoms:
Lu1 0.500 0.500 0.500
In1 0.250 0.250 0.250
Th1 0.000 0.000 0.000
Hg1 0.750 0.750 0.750

density of states at the Fermi level = 3.40 states/eV/f.u.
energy of formation from the pure elements = -1.197 eV/f.u.
mass density = 11.13 g cm⁻³

=====

(6)
# LuTiInHg

A relaxed LuTiInHg crystal (GGA-PBE, Alexandria).

abc: 4.974 4.974 4.974
angles: 60.00 60.00 60.00
Fractional coordinates of all 4 atoms:
Lu1 0.750 0.750 0.750
Hg1 0.000 0.000 0.000
Ti1 0.250 0.250 0.250
In1 0.500 0.500 0.500

density of states at the Fermi level = 3.09 states/eV/f.u.
energy of formation from the pure elements = -0.624 eV/f.u.
mass density = 10.27 g cm⁻³

=====

(7)
# TmLuInHg

A relaxed TmLuInHg crystal (GGA-PBE, Alexandria).

abc: 5.220 5.220 5.220
angles: 60.00 60.00 60.00
Fractional coordinates of all 4 atoms:
In1 0.250 0.250 0.250
Tm1 0.000 0.000 0.000
Hg1 0.750 0.750 0.750
Lu1 0.500 0.500 0.500

density of states at the Fermi level = 3.65 states/eV/f.u.
energy of formation from the pure elements = -1.707 eV/f.u.
mass density = 10.88 g cm⁻³

=====

(8)
# YLuInHg

A relaxed YLuInHg crystal (GGA-PBE, Alexandria).

abc: 5.257 5.257 5.257
angles: 60.00 60.00 60.00
Fractional coordinates of all 4 atoms:
Lu1 0.250 0.250 0.250
In1 0.500 0.500 0.500
Y1 0.750 0.750 0.750
Hg1 0.000 0.000 0.000

density of states at the Fermi level = 3.98 states/eV/f.u.
energy of formation from the pure elements = -1.820 eV/f.u.
mass density = 9.36 g cm⁻³

=====

(9)
# LuZnInHg

A relaxed LuZnInHg crystal (GGA-PBE, Alexandria).

abc: 4.989 4.989 4.989
angles: 60.00 60.00 60.00
Fractional coordinates of all 4 atoms:
In1 0.250 0.250 0.250
Hg1 0.500 0.500 0.500
Lu1 0.750 0.750 0.750
Zn1 0.000 0.000 0.000

density of states at the Fermi level = 1.31 states/eV/f.u.
energy of formation from the pure elements = -0.953 eV/f.u.
mass density = 10.51 g cm⁻³

=====

(10)
# LuZrInHg

A relaxed LuZrInHg crystal (GGA-PBE, Alexandria).

abc: 5.085 5.085 5.085
angles: 60.00 60.00 60.00
Fractional coordinates of all 4 atoms:
Hg1 0.000 0.000 0.000
Lu1 0.750 0.750 0.750
In1 0.500 0.500 0.500
Zr1 0.250 0.250 0.250

density of states at the Fermi level = 3.68 states/eV/f.u.
energy of formation from the pure elements = -1.029 eV/f.u.
mass density = 10.39 g cm⁻³

=====

(11)
# MgIn4Hg7

A relaxed MgIn4Hg7 crystal (GGA-PBE, Alexandria).

abc: 4.895 4.895 15.075
angles: 90.00 90.00 120.00
Fractional coordinates of all 12 atoms:
Hg1 0.667 0.333 0.568
Hg2 0.333 0.667 0.172
Hg3 0.000 0.000 0.261
In1 0.667 0.333 0.087
Hg4 0.667 0.333 0.828
Hg5 0.000 0.000 0.000
Hg6 0.000 0.000 0.739
In2 0.333 0.667 0.913
In3 0.667 0.333 0.341
Hg7 0.333 0.667 0.432
Mg1 0.000 0.000 0.500
In4 0.333 0.667 0.659

density of states at the Fermi level = 3.46 states/eV/f.u.
energy of formation from the pure elements = -0.228 eV/f.u.
mass density = 10.02 g cm⁻³

=====

(12)
# MgIn2Hg

A relaxed MgIn2Hg crystal (GGA-PBE, Alexandria).

abc: 5.225 3.296 5.881
angles: 82.67 90.00 90.00
Fractional coordinates of all 4 atoms:
Mg1 0.500 0.250 0.250
In1 0.000 0.571 0.501
In2 0.000 0.929 0.999
Hg1 0.500 0.750 0.750

density of states at the Fermi level = 1.39 states/eV/f.u.
energy of formation from the pure elements = -0.060 eV/f.u.
mass density = 7.51 g cm⁻³